Record 1
# La3NdAg4 (PBE, optimized geometry)
# * calculated formation energy: -6.0 kcal/mol of atoms
# * space group: P4/mmm (123)
data_La3NdAg4
_chemical_formula_sum 'La3 Nd1 Ag4'
_space_group_name_H-M_alt 'P 1'
_space_group_IT_number 1
_cell_length_a 3.806
_cell_length_b 3.806
_cell_length_c 15.233
_cell_angle_alpha 90.00
_cell_angle_beta 90.00
_cell_angle_gamma 90.00
loop_
_space_group_symop_operation_xyz
'x,y,z'
loop_
_atom_site_label
_atom_site_type_symbol
_atom_site_fract_x
_atom_site_fract_y
_atom_site_fract_z
Nd1 Nd 0.500 0.500 0.000
Ag1 Ag 0.000 0.000 0.881
Ag2 Ag 0.000 0.000 0.119
Ag3 Ag 0.000 0.000 0.374
Ag4 Ag 0.000 0.000 0.626
La1 La 0.500 0.500 0.248
La2 La 0.500 0.500 0.500
La3 La 0.500 0.500 0.752



Record 2
# LaNdAg4 (PBE, optimized geometry)
# * calculated formation energy: -3.6 kcal/mol of atoms
# * space group: F-43m (216)
# * E above lowest polymorph: 0.66 eV/f.u.
data_LaNdAg4
_chemical_formula_sum 'La1 Nd1 Ag4'
_space_group_name_H-M_alt 'P 1'
_space_group_IT_number 1
_cell_length_a 5.825
_cell_length_b 5.825
_cell_length_c 5.825
_cell_angle_alpha 60.00
_cell_angle_beta 60.00
_cell_angle_gamma 60.00
loop_
_space_group_symop_operation_xyz
'x,y,z'
loop_
_atom_site_label
_atom_site_type_symbol
_atom_site_fract_x
_atom_site_fract_y
_atom_site_fract_z
Nd1 Nd 0.000 0.000 0.000
Ag1 Ag 0.625 0.625 0.124
Ag2 Ag 0.625 0.124 0.625
Ag3 Ag 0.625 0.625 0.625
Ag4 Ag 0.124 0.625 0.625
La1 La 0.250 0.250 0.250



Record 3
# La2Nd3Ag2 (PBE, optimized geometry)
# * calculated formation energy: -2.1 kcal/mol of atoms
# * space group: Cmmm (65)
# * E above lowest polymorph: 0.19 eV/f.u.
data_La2Nd3Ag2
_chemical_formula_sum 'La2 Nd3 Ag2'
_space_group_name_H-M_alt 'P 1'
_space_group_IT_number 1
_cell_length_a 3.734
_cell_length_b 3.719
_cell_length_c 15.641
_cell_angle_alpha 90.00
_cell_angle_beta 96.86
_cell_angle_gamma 90.00
loop_
_space_group_symop_operation_xyz
'x,y,z'
loop_
_atom_site_label
_atom_site_type_symbol
_atom_site_fract_x
_atom_site_fract_y
_atom_site_fract_z
La1 La 0.294 0.500 0.588
La2 La 0.706 0.500 0.412
Nd1 Nd 0.417 0.500 0.834
Nd2 Nd 0.583 0.500 0.166
Nd3 Nd 0.000 0.000 0.000
Ag1 Ag 0.141 0.000 0.281
Ag2 Ag 0.859 0.000 0.719



Record 4
# La12Nd3Ag (PBE, optimized geometry)
# * calculated formation energy: 0.2 kcal/mol of atoms
# * space group: P4/mmm (123)
data_La12Nd3Ag
_chemical_formula_sum 'La12 Nd3 Ag1'
_space_group_name_H-M_alt 'P 1'
_space_group_IT_number 1
_cell_length_a 5.187
_cell_length_b 5.187
_cell_length_c 20.806
_cell_angle_alpha 90.00
_cell_angle_beta 90.00
_cell_angle_gamma 90.00
loop_
_space_group_symop_operation_xyz
'x,y,z'
loop_
_atom_site_label
_atom_site_type_symbol
_atom_site_fract_x
_atom_site_fract_y
_atom_site_fract_z
La1 La 0.500 0.500 0.000
La2 La 0.500 0.500 0.244
La3 La 0.500 0.500 0.500
La4 La 0.500 0.500 0.756
La5 La 0.500 0.000 0.119
La6 La 0.500 0.000 0.372
La7 La 0.500 0.000 0.628
La8 La 0.500 0.000 0.881
La9 La 0.000 0.500 0.119
La10 La 0.000 0.500 0.372
La11 La 0.000 0.500 0.628
La12 La 0.000 0.500 0.881
Nd1 Nd 0.000 0.000 0.244
Nd2 Nd 0.000 0.000 0.500
Nd3 Nd 0.000 0.000 0.756
Ag1 Ag 0.000 0.000 0.000



Record 5
# La6NdAg2 (PBE, optimized geometry)
# * calculated formation energy: -0.9 kcal/mol of atoms
# * space group: C2/c (15)
# * E above lowest polymorph: 0.60 eV/f.u.
data_La6NdAg2
_chemical_formula_sum 'La12 Nd2 Ag4'
_space_group_name_H-M_alt 'P 1'
_space_group_IT_number 1
_cell_length_a 6.345
_cell_length_b 9.793
_cell_length_c 9.793
_cell_angle_alpha 73.12
_cell_angle_beta 86.32
_cell_angle_gamma 86.32
loop_
_space_group_symop_operation_xyz
'x,y,z'
loop_
_atom_site_label
_atom_site_type_symbol
_atom_site_fract_x
_atom_site_fract_y
_atom_site_fract_z
La1 La 0.498 0.678 0.437
La2 La 0.002 0.563 0.322
La3 La 0.502 0.322 0.563
La4 La 0.998 0.437 0.678
La5 La 0.673 0.109 0.352
La6 La 0.827 0.648 0.891
La7 La 0.327 0.891 0.648
La8 La 0.173 0.352 0.109
La9 La 0.306 0.733 0.041
La10 La 0.194 0.959 0.267
La11 La 0.694 0.267 0.959
La12 La 0.806 0.041 0.733
Nd1 Nd 0.250 0.107 0.893
Nd2 Nd 0.750 0.893 0.107
Ag1 Ag 0.400 0.534 0.796
Ag2 Ag 0.100 0.204 0.466
Ag3 Ag 0.600 0.466 0.204
Ag4 Ag 0.900 0.796 0.534



Record 6
# LaNd5Ag (PBE, optimized geometry)
# * calculated formation energy: 2.2 kcal/mol of atoms
# * space group: C2/c (15)
data_LaNd5Ag
_chemical_formula_sum 'La2 Nd10 Ag2'
_space_group_name_H-M_alt 'P 1'
_space_group_IT_number 1
_cell_length_a 6.877
_cell_length_b 6.877
_cell_length_c 12.498
_cell_angle_alpha 71.61
_cell_angle_beta 71.61
_cell_angle_gamma 58.43
loop_
_space_group_symop_operation_xyz
'x,y,z'
loop_
_atom_site_label
_atom_site_type_symbol
_atom_site_fract_x
_atom_site_fract_y
_atom_site_fract_z
La1 La 0.787 0.213 0.250
La2 La 0.213 0.787 0.750
Nd1 Nd 0.805 0.728 0.176
Nd2 Nd 0.303 0.374 0.539
Nd3 Nd 0.728 0.805 0.676
Nd4 Nd 0.260 0.740 0.250
Nd5 Nd 0.626 0.697 0.961
Nd6 Nd 0.374 0.303 0.039
Nd7 Nd 0.740 0.260 0.750
Nd8 Nd 0.272 0.195 0.324
Nd9 Nd 0.697 0.626 0.461
Nd10 Nd 0.195 0.272 0.824
Ag1 Ag 0.000 0.000 0.000
Ag2 Ag 0.000 0.000 0.500



no.,total magnetic moment (μB per formula unit)
1,0.00
2,0.00
3,0.00
4,0.00
5,0.00
6,0.00